Below is a relaxed CrInBAs2 crystal, with properties calculated at the PBEsol level.

Calculated values
The density of states at the Fermi level comes out at 3.26 states/eV per cell. The density is 4.8 g cm⁻³. The energy of formation from the pure elements is 150.4 kJ per mole of atoms.

Cell and atoms, written as CIF:
```
data_CrInBAs2
_space_group_name_H-M_alt 'P 4/m m m'
_space_group_IT_number 123
_space_group_name_Hall '-P 4 2'
_cell_length_a 5.248
_cell_length_b 5.248
_cell_length_c 4.136
_cell_angle_alpha 90.00
_cell_angle_beta 90.00
_cell_angle_gamma 90.00
loop_
_atom_site_label
_atom_site_fract_x
_atom_site_fract_y
_atom_site_fract_z
_atom_site_occupancy
Cr1 0.000 0.000 0.000 1
In1 0.500 0.500 0.500 1
B1 0.500 0.500 0.000 1
As1 0.000 0.500 0.500 1
```